[1]
Crystalline LiCaRu2 at its relaxed geometry, computed with PBE-GGA.

```
LiCaRu2
1.0
2.696 0.000 0.000
0.000 2.696 0.000
0.000 0.000 8.912
Li Ca Ru
1 1 2
Cartesian
0.000 0.000 0.000 Li
0.000 0.000 4.456 Ca
1.348 1.348 2.065 Ru
1.348 1.348 6.848 Ru
```

## Properties
Density of states at the Fermi level, states/eV/f.u.: 4.96
Excess energy over the best structure of this formula in the dataset, meV/atom: 275
Formation energy, eV/atom: 0.52

---

[2]
Crystalline PmGa5Os at its relaxed geometry, computed with PBE-GGA.

```
PmGa5Os
1.0
4.394 0.000 0.000
0.000 4.394 0.000
0.000 0.000 6.977
Pm Ga Os
1 5 1
Cartesian
0.000 0.000 0.000 Pm
0.000 2.197 2.164 Ga
0.000 2.197 4.813 Ga
2.197 0.000 2.164 Ga
2.197 0.000 4.813 Ga
2.197 2.197 0.000 Ga
0.000 0.000 3.488 Os
```

## Properties
Density of states at the Fermi level, states/eV/f.u.: 2.19
Formation energy, eV/atom: -0.41

---

The lowest density of states at the Fermi level belongs to which entry?
PmGa5Os